The following is a DFT calculation (PBE) of a relaxed structure of HgOsSO2.

Calculated values
total DFT energy (no corrections): -27.688 eV/f.u.
total magnetic moment: 0.00 Bohr magnetons per cell
ΔE_f (raw): -423 meV/atom

Lattice parameters (Å, degrees): 3.7794 3.7794 5.6262 90.00 90.00 90.00
Space group P4/mmm (No. 123)
Unique sites:
Hg (0.0000, 0.0000, 0.0000) [1 per cell]
Os (0.5000, 0.5000, 0.5000) [1 per cell]
S (0.5000, 0.5000, 0.0000) [1 per cell]
O (0.0000, 0.5000, 0.5000) [2 per cell]